! Sr2ZnAu2 GGA-PBE relaxed; values from VASP
&SYSTEM
  ibrav = 0, nat = 5, ntyp = 3
/
ATOMIC_SPECIES
Sr 87.62 Sr.upf
Au 196.97 Au.upf
Zn 65.41 Zn.upf
ATOMIC_POSITIONS angstrom
Sr 3.982 3.982 7.056
Au 1.991 3.982 4.508
Au 3.982 1.991 4.508
Sr 1.991 1.991 1.960
Zn 0.000 0.000 0.000
CELL_PARAMETERS angstrom
3.982 0.000 0.000
0.000 3.982 0.000
1.991 1.991 9.016
! E_tot	-12.99	eV for the cell shown
! formation enthalpy at 0 K	-174	kJ/mol of formula units

! Mg5Cd3Pb GGA-PBE relaxed; values from VASP
&SYSTEM
  ibrav = 0, nat = 18, ntyp = 3
/
ATOMIC_SPECIES
Cd 112.41 Cd.upf
Pb 207.20 Pb.upf
Mg 24.30 Mg.upf
ATOMIC_POSITIONS angstrom
Cd 4.906 5.575 0.000
Cd 4.906 1.536 2.661
Pb 3.270 0.000 0.000
Cd 1.635 3.073 0.000
Mg 1.635 5.876 0.000
Cd 1.635 2.788 4.828
Cd 1.635 -1.536 2.661
Mg 4.906 2.772 0.000
Mg 1.635 5.710 5.088
Pb 0.000 0.000 0.000
Mg 4.906 2.938 5.088
Mg 3.270 0.000 4.993
Mg 4.906 -1.386 2.401
Mg 0.000 0.000 4.993
Mg 0.000 4.324 2.496
Mg 3.270 4.324 2.496
Cd 4.906 5.860 4.828
Mg 1.635 1.386 2.401
CELL_PARAMETERS angstrom
6.541 0.000 0.000
0.000 8.648 0.000
0.000 -4.324 7.489
! E_tot	-29.46	eV for the cell shown
! formation enthalpy at 0 K	-29	kJ/mol of formula units

! V3AgAs GGA-PBE relaxed; values from VASP
&SYSTEM
  ibrav = 0, nat = 5, ntyp = 3
/
ATOMIC_SPECIES
V 50.94 V.upf
Ag 107.87 Ag.upf
As 74.92 As.upf
ATOMIC_POSITIONS angstrom
V -0.174 2.178 0.627
Ag 0.647 1.379 3.630
V -1.138 -0.627 1.864
V 1.959 -0.171 1.139
As 0.000 0.000 0.000
CELL_PARAMETERS angstrom
-2.277 -1.255 3.729
3.919 -0.342 2.278
-0.348 4.356 1.253
! energy relative to the lowest polymorph listed for this composition	0	kJ/mol of formula units
! E_tot	-31.08	eV for the cell shown
! formation enthalpy at 0 K	365	kJ/mol of formula units

! Ca3MgP GGA-PBE relaxed; values from VASP
&SYSTEM
  ibrav = 0, nat = 10, ntyp = 3
/
ATOMIC_SPECIES
Mg 24.30 Mg.upf
Ca 40.08 Ca.upf
P 30.97 P.upf
ATOMIC_POSITIONS angstrom
Mg 1.705 -6.643 1.345
Ca 1.285 -8.929 4.051
Ca -1.801 -9.593 1.524
Ca -1.210 -6.505 -0.493
Ca -3.657 -3.636 -1.159
Mg -4.077 -5.922 1.547
Ca -0.571 -2.973 1.368
Ca -1.162 -6.061 3.386
P -1.783 -3.369 4.117
P -0.588 -9.196 -1.224
CELL_PARAMETERS angstrom
-4.370 -4.365 -2.750
5.369 -6.295 1.460
-3.371 -1.905 4.182
! energy relative to the lowest polymorph listed for this composition	40	kJ/mol of formula units
! E_tot	-30.87	eV for the cell shown
! formation enthalpy at 0 K	-234	kJ/mol of formula units

! NiBi2Sb GGA-PBE relaxed; values from VASP
&SYSTEM
  ibrav = 0, nat = 8, ntyp = 3
/
ATOMIC_SPECIES
Bi 208.98 Bi.upf
Ni 58.69 Ni.upf
Sb 121.76 Sb.upf
ATOMIC_POSITIONS angstrom
Bi 4.762 5.181 4.737
Bi 2.007 4.762 1.579
Ni 3.175 3.175 0.000
Sb 6.349 3.175 3.158
Sb 0.000 0.000 0.000
Ni 3.175 6.349 3.158
Bi 7.936 7.517 4.737
Bi 4.342 1.587 1.579
CELL_PARAMETERS angstrom
6.349 0.000 0.000
0.000 6.349 0.000
3.175 3.175 6.316
! E_tot	-33.68	eV for the cell shown
! E_form (uncorrected)	0.21	eV/atom

! TlCrCo GGA-PBE relaxed; values from VASP
&SYSTEM
  ibrav = 0, nat = 3, ntyp = 3
/
ATOMIC_SPECIES
Cr 52.00 Cr.upf
Co 58.93 Co.upf
Tl 204.38 Tl.upf
ATOMIC_POSITIONS angstrom
Cr 6.516 1.724 1.421
Co 1.010 0.266 2.983
Tl 3.823 1.011 2.185
CELL_PARAMETERS angstrom
5.271 -0.236 0.253
4.465 2.812 0.254
0.806 0.212 3.041
! E_tot	-17.47	eV for the cell shown
! formation enthalpy at 0 K	157	kJ/mol of formula units

! BaCuAs4 GGA-PBE relaxed; values from VASP
&SYSTEM
  ibrav = 0, nat = 6, ntyp = 3
/
ATOMIC_SPECIES
Ba 137.33 Ba.upf
As 74.92 As.upf
Cu 63.55 Cu.upf
ATOMIC_POSITIONS angstrom
Ba -1.971 9.838 3.728
As -1.404 6.510 4.405
As -0.960 4.791 1.815
As -2.989 7.187 1.780
As 0.097 7.745 1.939
Cu 0.000 0.000 0.000
CELL_PARAMETERS angstrom
-0.824 3.190 4.805
1.961 5.482 0.230
-3.765 4.446 -0.065
! E_tot	-24.62	eV for the cell shown
! formation enthalpy at 0 K	0	kJ/mol of formula units

! SnCI2N GGA-PBE relaxed; values from VASP
&SYSTEM
  ibrav = 0, nat = 5, ntyp = 4
/
ATOMIC_SPECIES
I 126.90 I.upf
N 14.01 N.upf
C 12.01 C.upf
Sn 118.71 Sn.upf
ATOMIC_POSITIONS angstrom
I 0.000 3.002 0.000
N 0.000 0.000 1.976
C 3.002 3.002 1.976
I 3.002 0.000 0.000
Sn 0.000 0.000 0.000
CELL_PARAMETERS angstrom
6.004 0.000 0.000
0.000 6.004 0.000
0.000 0.000 3.953
! energy relative to the lowest polymorph listed for this composition	500	kJ/mol of formula units
! E_tot	-14.94	eV for the cell shown
! E_form (uncorrected)	1.94	eV/atom

! CuBiMo3 GGA-PBE relaxed; values from VASP
&SYSTEM
  ibrav = 0, nat = 5, ntyp = 3
/
ATOMIC_SPECIES
Mo 95.94 Mo.upf
Bi 208.98 Bi.upf
Cu 63.55 Cu.upf
ATOMIC_POSITIONS angstrom
Mo 2.305 0.000 0.000
Mo 0.000 0.000 2.305
Bi 2.305 2.305 2.305
Cu 0.000 0.000 0.000
Mo 0.000 2.305 0.000
CELL_PARAMETERS angstrom
4.609 0.000 0.000
0.000 4.609 0.000
0.000 0.000 4.609
! energy relative to the lowest polymorph listed for this composition	0	kJ/mol of formula units
! E_tot	-33.14	eV for the cell shown
! formation enthalpy at 0 K	707	kJ/mol of formula units

! AlSnIr2 GGA-PBE relaxed; values from VASP
&SYSTEM
  ibrav = 0, nat = 8, ntyp = 3
/
ATOMIC_SPECIES
Ir 192.22 Ir.upf
Sn 118.71 Sn.upf
Al 26.98 Al.upf
ATOMIC_POSITIONS angstrom
Ir 1.218 3.114 2.132
Ir 2.935 1.038 2.132
Sn 0.000 0.000 0.000
Al 2.076 2.076 0.000
Al 2.076 4.152 4.265
Sn 4.152 2.076 4.265
Ir 5.190 5.011 6.397
Ir 3.114 3.294 6.397
CELL_PARAMETERS angstrom
4.152 0.000 0.000
0.000 4.152 0.000
2.076 2.076 8.529
! E_tot	-50.33	eV for the cell shown
! formation enthalpy at 0 K	29	kJ/mol of formula units

! In2MoAs GGA-PBE relaxed; values from VASP
&SYSTEM
  ibrav = 0, nat = 4, ntyp = 3
/
ATOMIC_SPECIES
In 114.82 In.upf
As 74.92 As.upf
Mo 95.94 Mo.upf
ATOMIC_POSITIONS angstrom
In -2.526 -1.871 -0.403
In 0.000 0.000 0.000
As 0.217 -3.013 0.165
Mo -2.222 -0.127 2.050
CELL_PARAMETERS angstrom
-4.965 1.015 1.482
-0.087 -4.758 -2.288
0.522 -1.269 2.619
! E_tot	-19.38	eV for the cell shown
! formation enthalpy at 0 K	152	kJ/mol of formula units

! BaAl2Hg GGA-PBE relaxed; values from VASP
&SYSTEM
  ibrav = 0, nat = 4, ntyp = 3
/
ATOMIC_SPECIES
Al 26.98 Al.upf
Ba 137.33 Ba.upf
Hg 200.59 Hg.upf
ATOMIC_POSITIONS angstrom
Al 0.000 0.000 0.000
Ba 3.513 0.495 1.588
Hg -1.299 3.301 1.588
Al 1.621 2.780 0.062
CELL_PARAMETERS angstrom
6.433 -0.027 0.062
-3.191 5.586 0.062
0.592 1.016 3.114
! E_tot	-8.86	eV for the cell shown
! formation enthalpy at 0 K	82	kJ/mol of formula units